Record 1
{"formula": "CeZrTi4", "functional": "GGA-PBE", "state": "optimized geometry", "magmom_total_mub_per_fu": 2.98, "density_kg_m3": 5798, "e_tot_ev_per_atom": -7.46, "e_form_mev_per_atom": 221, "sg": "No. 216", "cell": [[5.5532, 0.0000, 0.0000], [2.7766, 4.8092, 0.0000], [2.7766, 1.6031, 4.5341]], "species": ["Ti", "Zr", "Ti", "Ti", "Ce", "Ti"], "frac_coords": [[0.1238, 0.6254, 0.6254], [0.0000, 0.0000, 0.0000], [0.6254, 0.6254, 0.6254], [0.6254, 0.6254, 0.1238], [0.2500, 0.2500, 0.2500], [0.6254, 0.1238, 0.6254]]}

---

Record 2
{"formula": "KMgGaTc2", "functional": "GGA-PBE", "state": "optimized geometry", "magmom_total_mub_per_fu": 4.85, "density_kg_m3": 4132, "e_tot_ev_per_atom": -3.52, "e_form_mev_per_atom": 1769, "sg": "No. 123", "cell": [[4.9298, 0.0000, 0.0000], [0.0000, 5.4429, 0.0000], [0.0000, 0.0000, 4.9298]], "species": ["Tc", "Tc", "Mg", "Ga", "K"], "frac_coords": [[0.5000, 0.0000, 0.0000], [0.0000, 0.0000, 0.5000], [0.0000, 0.0000, 0.0000], [0.5000, 0.5000, 0.5000], [0.0000, 0.5000, 0.0000]]}

---

Record 3
{"formula": "AcZn3Pd", "functional": "GGA-PBE", "state": "optimized geometry", "magmom_total_mub_per_fu": 0.00, "polymorph_energy_ev_per_fu": 0.79, "density_kg_m3": 7677, "e_tot_ev_per_atom": -2.94, "e_form_mev_per_atom": -317, "sg": "No. 221", "cell": [[-0.3021, -4.7953, 0.7084], [3.4943, 0.2764, 3.3617], [-3.3594, 0.7188, 3.4329]], "species": ["Ac", "Zn", "Pd", "Zn", "Zn"], "frac_coords": [[0.5000, 0.5000, 0.5000], [0.0000, 0.0000, 0.5000], [0.0000, 0.0000, 0.0000], [0.5000, 0.0000, 0.0000], [0.0000, 0.5000, 0.0000]]}